DFT (PBE) results for crystalline NpTlO6 at its relaxed geometry.

Output
Raw formation energy in eV/atom: -1.2004
Total magnetic moment in μB per formula unit: 1.70

CIF file:
```
data_NpTlO6
_chemical_formula_sum 'Np2 Tl2 O12'
_cell_length_a 5.6966
_cell_length_b 8.6397
_cell_length_c 5.3301
_cell_angle_alpha 90.00
_cell_angle_beta 97.01
_cell_angle_gamma 90.00
_symmetry_space_group_name_H-M 'C 1 2/m 1'
_symmetry_Int_Tables_number 12
loop_
_symmetry_equiv_pos_as_xyz
'x,y,z'
'-x,-y,-z'
'-x,y,-z'
'x,-y,z'
'x+1/2,y+1/2,z'
'-x+1/2,-y+1/2,-z'
'-x+1/2,y+1/2,-z'
'x+1/2,-y+1/2,z'
loop_
_atom_site_label
_atom_site_type_symbol
_atom_site_fract_x
_atom_site_fract_y
_atom_site_fract_z
_atom_site_occupancy
Np1 Np 0.0000 0.0000 0.0000 1
Tl1 Tl 0.0000 0.5000 0.5000 1
O1 O 0.1547 0.1483 0.2174 1
O2 O 0.2067 0.5000 0.2253 1
```